A relaxed Pm12Ge6Sb crystal. Source: Alexandria via LeMat-Bulk, functional GGA-PBE.

Properties
The calculation puts the uncorrected formation energy at -0.546 eV per atom. The value obtained for the total energy is -5.222 eV per atom. The density of states at the Fermi level comes out at 14.55 states/eV/cell.

```
Pm12Ge6Sb
1.0
8.694 -0.139 -0.166
-1.455 8.572 -0.166
-1.455 -1.695 8.404
Pm Ge Sb
12 6 1
Cartesian
1.461 -1.025 7.789 Pm
3.992 0.787 3.388 Pm
0.172 2.607 4.605 Pm
1.792 5.951 4.684 Pm
4.322 7.763 0.283 Pm
7.018 -0.696 5.412 Pm
-1.752 4.104 7.689 Pm
7.535 2.634 0.383 Pm
-1.235 7.434 2.660 Pm
3.233 2.308 6.693 Pm
2.551 4.430 1.380 Pm
5.611 4.131 3.467 Pm
-0.181 4.688 2.468 Ge
4.184 6.676 3.019 Ge
4.661 2.334 0.964 Ge
5.965 2.051 5.604 Ge
1.123 4.405 7.108 Ge
1.600 0.062 5.053 Ge
0.000 0.000 0.000 Sb
```